# 1
This record from Alexandria via LeMat-Bulk describes an optimized crystal structure of HfNi2Ag. The functional is PBE.

The structure in POSCAR format:
```
HfNi2Ag
1.0
0.0000 3.0981 3.0981
3.0981 0.0000 3.0981
3.0981 3.0981 0.0000
Hf Ni Ag
1 2 1
Direct
0.0000 0.0000 0.0000
0.2500 0.2500 0.2500
0.7500 0.7500 0.7500
0.5000 0.5000 0.5000
```

Output
Symmetry ... No. 225
Relative energy among the computed polymorphs ... 18 meV/atom
Density of states at the Fermi level ... 0.740 states/eV per atom
DFT formation energy ... -0.85 eV/f.u.


# 2
This record from Alexandria via LeMat-Bulk describes an optimized crystal structure of Hf2Ni2Ag. The functional is PBE.

The structure in POSCAR format:
```
Hf2Ni2Ag
1.0
7.1083 0.0000 0.0000
0.0000 7.1083 0.0000
0.0000 0.0000 3.2477
Hf Ni Ag
4 4 2
Direct
0.1701 0.3299 0.0000
0.3299 0.8299 0.0000
0.6701 0.1701 0.0000
0.8299 0.6701 0.0000
0.1254 0.6254 0.5000
0.3746 0.1254 0.5000
0.6254 0.8746 0.5000
0.8746 0.3746 0.5000
0.0000 0.0000 0.5000
0.5000 0.5000 0.5000
```

Output
Symmetry ... No. 127
Relative energy among the computed polymorphs ... 0 meV/atom
Density of states at the Fermi level ... 0.672 states/eV per atom
DFT formation energy ... -1.97 eV/f.u.


# 3
This record from Alexandria via LeMat-Bulk describes an optimized crystal structure of HfNi3Ag. The functional is PBE.

The structure in POSCAR format:
```
HfNi3Ag
1.0
4.5157 0.0000 0.0000
0.0000 4.5157 0.0000
0.0000 0.0000 4.5157
Hf Ni Ag
1 3 1
Direct
0.0000 0.0000 0.0000
0.0000 0.5000 0.5000
0.5000 0.0000 0.5000
0.5000 0.5000 0.0000
0.5000 0.5000 0.5000
```

Output
Symmetry ... No. 221
Relative energy among the computed polymorphs ... 44 meV/atom
Density of states at the Fermi level ... 1.161 states/eV per atom
DFT formation energy ... 5.55 eV/f.u.


# 4
This record from Alexandria via LeMat-Bulk describes an optimized crystal structure of HfNi3Ag. The functional is PBE.

The structure in POSCAR format:
```
HfNi3Ag
1.0
4.5640 0.0000 0.0000
0.0000 4.5640 0.0000
0.0000 0.0000 4.5640
Hf Ni Ag
1 3 1
Direct
0.0000 0.0000 0.0000
0.0000 0.0000 0.5000
0.0000 0.5000 0.0000
0.5000 0.0000 0.0000
0.5000 0.5000 0.5000
```

Output
Symmetry ... No. 221
Relative energy among the computed polymorphs ... 0 meV/atom
Density of states at the Fermi level ... 0.522 states/eV per atom
DFT formation energy ... 5.33 eV/f.u.


- Which of these has the lowest DFT formation energy?
  Hf2Ni2Ag


- relative energy among the computed polymorphs of number 3 (HfNi3Ag)?
  44 meV/atom